Na2OsSe2 | the Alexandria database | PBE | relaxed; uncorrected formation energy = 794 meV/atom; excess energy over the best structure of this formula in the dataset = 28.0 kJ per mole of atoms; M_tot = 2.569 μB per formula unit
1.0
3.745 0.000 0.000
0.000 3.745 0.000
0.000 0.000 17.521
Na Os Se
4 2 4
Cartesian
0.000 0.000 1.813 Na
0.000 0.000 15.707 Na
1.873 1.873 6.947 Na
1.873 1.873 10.574 Na
0.000 0.000 8.760 Os
1.873 1.873 0.000 Os
0.000 1.873 4.380 Se
0.000 1.873 13.141 Se
1.873 0.000 4.380 Se
1.873 0.000 13.141 Se